This record from Alexandria describes a relaxed structure of Al6Ga12Rh. The functional is GGA-PBE.

As for the calculated volume: 18.2 Å³ per atom. For the polymorph energy (0 for the lowest one), the calculation gives 47 meV/atom. As for the space group: R-3 (148). As for the density of states at the Fermi level: 5.5 states/eV/f.u. The value obtained for the energy of formation from the pure elements is -0.0323 eV/atom.

Unit cell a=7.0565 b=7.0565 c=7.0565 alpha=83.64 beta=83.64 gamma=83.64
Fractional coordinates of all 19 atoms:
Al (0.7425, 0.8702, 0.2655)
Al (0.7345, 0.2575, 0.1298)
Al (0.1298, 0.7345, 0.2575)
Al (0.2575, 0.1298, 0.7345)
Al (0.2655, 0.7425, 0.8702)
Al (0.8702, 0.2655, 0.7425)
Ga (0.8341, 0.4934, 0.4004)
Ga (0.4004, 0.8341, 0.4934)
Ga (0.4934, 0.4004, 0.8341)
Ga (0.1659, 0.5066, 0.5996)
Ga (0.5996, 0.1659, 0.5066)
Ga (0.5066, 0.5996, 0.1659)
Ga (0.0695, 0.1308, 0.3756)
Ga (0.8692, 0.6244, 0.9305)
Ga (0.6244, 0.9305, 0.8692)
Ga (0.9305, 0.8692, 0.6244)
Ga (0.1308, 0.3756, 0.0695)
Ga (0.3756, 0.0695, 0.1308)
Rh (0.0000, 0.0000, 0.0000)